Entry 1:
The following is a PBE-GGA calculation of crystalline KNaGa2Sn2 at its relaxed geometry, from Alexandria via LeMat-Bulk.

Calculated values
* total moment: 0.000 μB per cell

Lattice parameters (Å, degrees): 4.5829 4.5829 10.1111 90.00 90.00 120.00
Closest atoms and distances in Å follow each position.
Fractional coordinates of all 6 atoms:
K1 0.0000 0.0000 0.0000  6 Sn 3.75, 6 Ga 4.06
Na1 0.0000 0.0000 0.5000  6 Ga 3.30, 6 Sn 3.57
Ga1 0.3333 0.6667 0.6949  3 Sn 2.68
Ga2 0.6667 0.3333 0.3051  3 Sn 2.68
Sn1 0.3333 0.6667 0.2624  3 Ga 2.68
Sn2 0.6667 0.3333 0.7376  3 Ga 2.68

***

Entry 2:
The following is a PBE-GGA calculation of crystalline KNa2SrGa at its relaxed geometry, from Alexandria via LeMat-Bulk.

Calculated values
* total moment: 0.000 μB per cell

Lattice parameters (Å, degrees): 6.0675 6.0675 6.1383 90.00 90.00 90.00
Closest atoms and distances in Å follow each position.
Fractional coordinates of all 5 atoms:
K1 0.0000 0.0000 0.0000  4 Sr 4.29, 8 Na 4.32
Na1 0.0000 0.5000 0.5000  2 Ga 3.03
Na2 0.5000 0.0000 0.5000  2 Ga 3.03
Sr1 0.5000 0.5000 0.0000  2 Ga 3.07
Ga1 0.5000 0.5000 0.5000  4 Na 3.03, 2 Sr 3.07

***

Entry 3:
The following is a PBE-GGA calculation of crystalline KNbGa3 at its relaxed geometry, from Alexandria via LeMat-Bulk.

Calculated values
* total moment: 0.000 μB per cell

Lattice parameters (Å, degrees): 5.1552 5.1552 5.1552 90.00 90.00 90.00
Closest atoms and distances in Å follow each position.
Fractional coordinates of all 5 atoms:
K1 0.0000 0.0000 0.0000  12 Ga 3.65
Nb1 0.5000 0.5000 0.5000  6 Ga 2.58
Ga1 0.0000 0.5000 0.5000  2 Nb 2.58
Ga2 0.5000 0.0000 0.5000  2 Nb 2.58
Ga3 0.5000 0.5000 0.0000  2 Nb 2.58

***

Calculated energy of formation from the pure elements, -0.1634; 0.0497; 0.1438 eV/atom (same order as the records).
Calculated DFT total energy, -2.909; -1.639; -3.906 eV/atom (same order as the records).